1.
The following is a PBEsol calculation of a relaxed structure of SrMg2Ag, from Alexandria via LeMat-Bulk.

Summary:
* space group: No. 8
* E_form: -0.120 eV per atom

Cell lengths 4.8426, 4.8295, 6.1549 Å; angles 113.04, 90.00, 120.09 degrees
Element x y z (fractional)
Mg 0.7085 0.4171 0.1257
Ag 0.3097 0.6193 0.9280
Sr 0.5050 0.0101 0.5165
Mg 0.9768 0.9535 0.9298

=====

2.
The following is a PBEsol calculation of a relaxed structure of BeTlCo2Cl, from Alexandria via LeMat-Bulk.

Summary:
* E_form (uncorrected): 5.33 eV per formula unit
* space group: No. 123

Cell lengths 4.0162, 4.0162, 5.7741 Å; angles 90.00, 90.00, 90.00 degrees
Element x y z (fractional)
Tl 0.0000 0.0000 0.5000
Be 0.5000 0.5000 0.5000
Co 0.0000 0.5000 0.0000
Co 0.5000 0.0000 0.0000
Cl 0.0000 0.0000 0.0000

=====

3.
The following is a PBEsol calculation of a relaxed structure of BiSb3H, from Alexandria via LeMat-Bulk.

Summary:
* E: -14.1 eV for the cell shown
* space group: No. 221

Cell lengths 5.8547, 5.8547, 5.8547 Å; angles 90.00, 90.00, 90.00 degrees
Element x y z (fractional)
Sb 0.0000 0.5000 0.0000
Sb 0.5000 0.0000 0.0000
Sb 0.0000 0.0000 0.5000
Bi 0.0000 0.0000 0.0000
H 0.5000 0.5000 0.5000

=====

4.
The following is a PBEsol calculation of a relaxed structure of BiTeHN2, from Alexandria via LeMat-Bulk.

Summary:
* E: -20.3 eV for the cell shown
* space group: No. 123

Cell lengths 3.4338, 4.4153, 4.4153 Å; angles 90.00, 90.00, 90.00 degrees
Element x y z (fractional)
N 0.0000 0.0000 0.5000
Bi 0.5000 0.5000 0.5000
N 0.0000 0.5000 0.0000
Te 0.5000 0.0000 0.0000
H 0.0000 0.0000 0.0000

=====

5.
The following is a PBEsol calculation of a relaxed structure of Ti5CuSb2, from Alexandria via LeMat-Bulk.

Summary:
* E_form (uncorrected): -3.47 eV per formula unit
* space group: No. 140

Cell lengths 5.0443, 7.7383, 7.7383 Å; angles 83.90, 70.98, 70.98 degrees
Element x y z (fractional)
Ti 0.2864 0.2875 0.1396
Sb 0.1642 0.1716 0.5000
Ti 0.7864 0.1396 0.2875
Ti 0.7500 0.5000 0.5000
Ti 0.7136 0.7125 0.8604
Sb 0.8358 0.8284 0.5000
Cu 0.7500 0.0000 0.0000
Ti 0.2136 0.8604 0.7125
Ti 0.2500 0.5000 0.5000
Sb 0.3358 0.5000 0.8284
Ti 0.5740 0.1396 0.7125
Ti 0.0740 0.7125 0.1396
Cu 0.2500 0.0000 0.0000
Ti 0.4260 0.8604 0.2875
Sb 0.6642 0.5000 0.1716
Ti 0.9260 0.2875 0.8604

=====

6.
The following is a PBEsol calculation of a relaxed structure of Er2Ru2O7, from Alexandria via LeMat-Bulk.

Summary:
* E_form (uncorrected): -24.59 eV per formula unit
* space group: No. 227

Cell lengths 7.0767, 7.0767, 7.0767 Å; angles 60.00, 60.00, 60.00 degrees
Element x y z (fractional)
O 0.4613 0.0387 0.0387
O 0.5000 0.5000 0.5000
O 0.4613 0.0387 0.4613
Er 0.6250 0.6250 0.6250
Er 0.6250 0.6250 0.1250
O 0.0387 0.0387 0.4613
Ru 0.1250 0.1250 0.1250
O 0.0387 0.4613 0.0387
Ru 0.1250 0.6250 0.1250
O 0.2113 0.7887 0.2113
O 0.7887 0.7887 0.2113
O 0.7887 0.2113 0.2113
Ru 0.6250 0.1250 0.1250
O 0.2113 0.2113 0.7887
Er 0.6250 0.1250 0.6250
Er 0.1250 0.6250 0.6250
O 0.0387 0.4613 0.4613
O 0.2113 0.7887 0.7887
O 0.7500 0.7500 0.7500
Ru 0.1250 0.1250 0.6250
O 0.7887 0.2113 0.7887
O 0.4613 0.4613 0.0387

=====

7.
The following is a PBEsol calculation of a relaxed structure of SrBe2Sb, from Alexandria via LeMat-Bulk.

Summary:
* E_form (uncorrected): 0.14 eV per formula unit
* space group: No. 6

Cell lengths 3.8551, 3.8931, 5.8506 Å; angles 90.00, 109.67, 90.00 degrees
Element x y z (fractional)
Be 0.8574 0.0000 0.0954
Be 0.9327 0.5000 0.2287
Sr 0.2107 0.5000 0.8018
Sb 0.4993 0.0000 0.3741

=====

8.
The following is a PBEsol calculation of a relaxed structure of Te2Rh, from Alexandria via LeMat-Bulk.

Summary:
* E_form (uncorrected): -0.20 eV per formula unit
* space group: No. 71

Cell lengths 3.1287, 3.2776, 6.9073 Å; angles 103.72, 103.09, 90.00 degrees
Element x y z (fractional)
Te 0.6296 0.6296 0.2593
Rh 0.0000 0.0000 0.0000
Te 0.3704 0.3704 0.7407